Tb4MgCd2 | PBE | relaxed

Output
Energy relative to the lowest polymorph listed for this composition (eV/atom): 0.000
Energy relative to the elements (eV per atom): -0.095
DOS(E_F) (states/eV/f.u.): 9.4
E_tot (eV/cell): -22.609

Cell and atoms, written as extended XYZ:
```
7
Lattice="2.635 1.521 8.304 -2.635 1.521 8.304 0.000 -3.043 8.304" Properties=species:S:1:pos:R:3 pbc="T T T"
Tb 0.000 0.000 2.776
Tb 0.000 0.000 9.152
Tb 0.000 0.000 15.759
Tb 0.000 0.000 22.135
Mg 0.000 0.000 12.455
Cd 0.000 0.000 5.981
Cd 0.000 0.000 18.930
```